## Be3FeTe (PBE)

Data for Be3FeTe after structural relaxation.

abc: 4.1109 4.1109 4.1109
angles: 90.00 90.00 90.00
With the nearest neighbours (Å) after each atom.
Atoms (fractional coordinates):
Be 0.0000 0.5000 0.0000  2 Fe 2.06
Be 0.5000 0.0000 0.0000  2 Fe 2.06
Be 0.0000 0.0000 0.5000  2 Fe 2.06
Te 0.5000 0.5000 0.5000  12 Be 2.91
Fe 0.0000 0.0000 0.0000  6 Be 2.06

Properties
The space group is Pm-3m, No. 221. Its density of states at the Fermi level is 0.01 states/eV/cell. The crystal system is cubic. The value obtained for the density is 5031 kg/m3. Its energy above the lowest structure with this stoichiometry is 0 meV per atom.